Entry 1:
La5NdSm8 PBE optimized geometry; E_tot = -4.75 eV/atom; relative energy among the computed polymorphs = 0 meV per atom; energy of formation = 64 kJ/mol of formula units; total magnetization = 0.000 μB per cell
1.0
8.943 -1.805 0.000
8.943 1.805 0.000
-8.084 0.000 15.215
La Nd Sm
5 1 8
Direct
0.000 0.000 0.000
0.287 0.287 0.355
0.356 0.356 0.062
0.644 0.644 0.938
0.713 0.713 0.645
0.500 0.500 0.500
0.075 0.075 0.720
0.146 0.146 0.438
0.215 0.215 0.145
0.422 0.422 0.779
0.578 0.578 0.221
0.785 0.785 0.855
0.854 0.854 0.562
0.925 0.925 0.280

=====

Entry 2:
LaNd4Sm7 PBE optimized geometry; E_tot = -4.74 eV/atom; relative energy among the computed polymorphs = 0 meV per atom; energy of formation = 15 kJ/mol of formula units; total magnetization = 0.000 μB per cell
1.0
6.391 0.000 0.000
-0.002 7.362 0.000
-2.139 -0.003 8.870
La Nd Sm
1 4 7
Direct
0.000 0.000 0.000
0.221 0.500 0.668
0.279 0.750 0.333
0.721 0.250 0.667
0.779 0.500 0.332
0.000 0.500 0.000
0.221 0.000 0.668
0.279 0.250 0.333
0.500 0.250 0.000
0.500 0.750 0.000
0.721 0.750 0.667
0.779 0.000 0.332

=====

Entry 3:
La2NdSm PBE optimized geometry; E_tot = -4.82 eV/atom; relative energy among the computed polymorphs = 1 meV per atom; energy of formation = 5 kJ/mol of formula units; total magnetization = 0.000 μB per cell
1.0
5.240 0.000 0.000
0.000 5.240 0.000
0.000 0.000 5.178
La Nd Sm
2 1 1
Direct
0.000 0.500 0.000
0.500 0.000 0.000
0.000 0.000 0.500
0.500 0.500 0.500

=====

Entry 4:
LaNd4Sm6 PBE optimized geometry; E_tot = -4.46 eV/atom; relative energy among the computed polymorphs = 146 meV per atom; energy of formation = 309 kJ/mol of formula units; total magnetization = 0.000 μB per cell
1.0
-3.370 3.370 8.667
3.370 -3.370 8.667
3.370 3.370 -8.667
La Nd Sm
1 4 6
Direct
0.000 0.000 0.000
0.012 0.012 0.381
0.369 0.988 0.000
0.631 0.631 0.619
0.988 0.369 0.000
0.000 0.500 0.500
0.197 0.553 0.000
0.447 0.447 0.644
0.500 0.000 0.500
0.553 0.197 0.000
0.803 0.803 0.356

=====

Entry 5:
LaNd8Sm6 PBE optimized geometry; E_tot = -4.64 eV/atom; energy of formation = 171 kJ/mol of formula units; total magnetization = 0.000 μB per cell
1.0
4.641 2.679 7.062
-4.641 2.679 7.062
0.000 -5.359 7.062
La Nd Sm
1 8 6
Direct
0.000 0.000 0.000
0.114 0.716 0.750
0.250 0.886 0.284
0.284 0.250 0.886
0.422 0.422 0.422
0.578 0.578 0.578
0.716 0.750 0.114
0.750 0.114 0.716
0.886 0.284 0.250
0.098 0.536 0.244
0.244 0.098 0.536
0.464 0.756 0.902
0.536 0.244 0.098
0.756 0.902 0.464
0.902 0.464 0.756

=====

Entry 6:
LaNd5Sm4 PBE optimized geometry; E_tot = -4.52 eV/atom; relative energy among the computed polymorphs = 109 meV per atom; energy of formation = 238 kJ/mol of formula units; total magnetization = 0.000 μB per cell
1.0
-5.234 5.234 3.197
5.234 -5.234 3.197
5.234 5.234 -3.197
La Nd Sm
1 5 4
Direct
0.000 0.000 0.000
0.047 0.117 0.619
0.117 0.498 0.070
0.428 0.047 0.930
0.498 0.428 0.381
0.540 0.540 0.000
0.112 0.808 0.386
0.421 0.726 0.614
0.726 0.112 0.305
0.808 0.421 0.695